Arrangement i

Compound: HoPPtO
Source: the Open Quantum Materials Database
Functional: GGA-PBE
Structure: optimized geometry

Cell: 3.5233 7.5673 5.5026 Å, 90.00 90.00 90.00°
With the nearest neighbours (Å) after each atom.
Fractional positions:
Ho 0.0000 0.7843 0.4406  2 O 2.09
Ho 0.0000 0.2157 0.9406  2 O 2.09
O 0.5000 0.9328 0.4342  2 Ho 2.09, 1 Pt 2.23
O 0.5000 0.0672 0.9342  2 Ho 2.09, 1 Pt 2.23
P 0.0000 0.4145 0.4403  2 Pt 2.26
P 0.0000 0.5855 0.9403  2 Pt 2.26
Pt 0.5000 0.2273 0.4389  1 O 2.23, 2 P 2.26
Pt 0.5000 0.7727 0.9389  1 O 2.23, 2 P 2.26

The total magnetization comes out at 0.00 μB per cell. The space group is Pmc2_1, No. 26.

***

Arrangement ii

Compound: HoPPtO
Source: the Open Quantum Materials Database
Functional: GGA-PBE
Structure: optimized geometry

Cell: 4.0821 4.0821 7.6983 Å, 90.00 90.00 90.00°
With the nearest neighbours (Å) after each atom.
Fractional positions:
Ho 0.0000 0.0000 0.1305  4 O 2.27
Ho 0.5000 0.5000 0.8696  4 O 2.27
O 0.5000 0.0000 0.0000  4 Ho 2.27
O 0.0000 0.5000 0.0000  4 Ho 2.27
P 0.5000 0.5000 0.3335  4 Pt 2.41
P 0.0000 0.0000 0.6665  4 Pt 2.41
Pt 0.5000 0.0000 0.5000  4 P 2.41
Pt 0.0000 0.5000 0.5000  4 P 2.41

The total magnetization comes out at 0.03 μB per cell. The space group is P4/nmm, No. 129.

***

Which is more stable than every other structure shown? arrangement ii is more stable than every other one.